Entry 1:
Mn2MoAs: relaxed, GGA-PBEsol.

The space group is Imm2 (No. 44) and the conventional cell measures 3.268, 3.954 and 7.873 Å, with angles of 90.00, 90.00 and 90.00 degrees. The inequivalent atoms are Mn at (0.000, 0.000, 0.000), Mn at (0.000, 0.500, 0.251), Mo at (0.000, 0.500, 0.758) and As at (0.000, 0.000, 0.516).

For the total energy, the calculation gives -72.434 eV per cell. For the formation enthalpy at 0 K, the calculation gives 0.04 eV per atom.



Entry 2:
MnAs3N: relaxed, GGA-PBEsol.

The space group is Pm-3m (No. 221) and the conventional cell measures 4.387, 4.387 and 4.387 Å, with angles of 90.00, 90.00 and 90.00 degrees. The inequivalent atoms are Mn at (0.000, 0.000, 0.000), As at (0.000, 0.000, 0.500) and N at (0.500, 0.500, 0.500).

For the total energy, the calculation gives -27.652 eV per cell. The raw formation energy is 5.95 eV per formula unit.



Entry 3:
MnAsNO2: relaxed, GGA-PBEsol.

The space group is P4/mmm (No. 123) and the conventional cell measures 3.618, 3.618 and 3.866 Å, with angles of 90.00, 90.00 and 90.00 degrees. The inequivalent atoms are Mn at (0.000, 0.000, 0.000), As at (0.500, 0.500, 0.500), N at (0.000, 0.000, 0.500) and O at (0.000, 0.500, 0.000).

For the total energy, the calculation gives -35.156 eV per cell. The raw formation energy is -1.26 eV per formula unit.



Entry 4:
SrMn2NbAs: relaxed, GGA-PBEsol.

The space group is P4/mmm (No. 123) and the conventional cell measures 4.820, 4.820 and 5.011 Å, with angles of 90.00, 90.00 and 90.00 degrees. The inequivalent atoms are Sr at (0.000, 0.000, 0.000), Mn at (0.000, 0.500, 0.500), Nb at (0.500, 0.500, 0.500) and As at (0.500, 0.500, 0.000).

For the total energy, the calculation gives -34.921 eV per cell. For the formation enthalpy at 0 K, the calculation gives 0.47 eV per atom.



Entry 5:
NdMnAsO: relaxed, GGA-PBEsol.

The space group is P4/nmm (No. 129, origin choice 2) and the conventional cell measures 3.908, 3.908 and 8.618 Å, with angles of 90.00, 90.00 and 90.00 degrees. The inequivalent atoms are Nd at (0.250, 0.250, 0.141), Mn at (0.250, 0.750, 0.500), As at (0.250, 0.250, 0.658) and O at (0.250, 0.750, 0.000).

For the total energy, the calculation gives -64.541 eV per cell. The raw formation energy is -6.99 eV per formula unit.



Entry 6:
MnNiAs: relaxed, GGA-PBEsol.

The space group is Pnma (No. 62) and the conventional cell measures 6.033, 3.516 and 6.974 Å, with angles of 90.00, 90.00 and 90.00 degrees. The inequivalent atoms are Mn at (0.034, 0.250, 0.158), Ni at (0.138, 0.250, 0.561) and As at (0.241, 0.750, 0.366).

For the total energy, the calculation gives -86.985 eV per cell. For the formation enthalpy at 0 K, the calculation gives -0.24 eV per atom.



Entry 7:
MnNiAs2: relaxed, GGA-PBEsol.

The space group is R-3m (No. 166, hexagonal axes) and the conventional cell measures 2.8870, 2.8870 and 21.6749 Å, with angles of 90.00, 90.00 and 120.00 degrees. The inequivalent atoms are Mn at (0.0000, 0.0000, 0.0000), Ni at (0.0000, 0.0000, 0.5000) and As at (0.0000, 0.0000, 0.2526).

For the total energy, the calculation gives -78.629 eV per cell. The energy above the most stable polymorph in this dataset comes out at 38.5 meV per atom. For the formation enthalpy at 0 K, the calculation gives -0.02 eV per atom.



Entry 8:
MnNiAs: relaxed, GGA-PBEsol.

The space group is F-43m (No. 216) and the conventional cell measures 5.548, 5.548 and 5.548 Å, with angles of 90.00, 90.00 and 90.00 degrees. The inequivalent atoms are Mn at (0.000, 0.000, 0.000), Ni at (0.250, 0.250, 0.250) and As at (0.000, 0.000, 0.500).

For the total energy, the calculation gives -86.336 eV per cell. For the formation enthalpy at 0 K, the calculation gives -0.19 eV per atom.



Entry 9:
MnNiAs2: relaxed, GGA-PBEsol.

The space group is Imm2 (No. 44) and the conventional cell measures 2.784, 3.589 and 11.526 Å, with angles of 90.00, 90.00 and 90.00 degrees. The inequivalent atoms are Mn at (0.000, 0.000, 0.000), Ni at (0.000, 0.500, 0.711), As at (0.000, 0.000, 0.393) and As at (0.000, 0.500, 0.147).

For the total energy, the calculation gives -52.727 eV per cell. The energy above the most stable polymorph in this dataset comes out at 0.0 meV per atom. For the formation enthalpy at 0 K, the calculation gives -0.06 eV per atom.



Entry 10:
MnNiAs: relaxed, GGA-PBEsol.

The space group is I4mm (No. 107) and the conventional cell measures 3.251, 3.251 and 7.244 Å, with angles of 90.00, 90.00 and 90.00 degrees. The inequivalent atoms are Mn at (0.000, 0.000, 0.000), Ni at (0.000, 0.000, 0.659) and As at (0.000, 0.000, 0.333).

For the total energy, the calculation gives -42.156 eV per cell. For the formation enthalpy at 0 K, the calculation gives -0.02 eV per atom.



Entry 11:
MnNiAs: relaxed, GGA-PBEsol.

The space group is P-62m (No. 189) and the conventional cell measures 6.0447, 6.0447 and 3.5501 Å, with angles of 90.00, 90.00 and 120.00 degrees. The inequivalent atoms are Mn at (0.0000, 0.4046, 0.0000), Ni at (0.0000, 0.7448, 0.5000), As at (0.0000, 0.0000, 0.0000) and As at (0.3333, 0.6667, 0.5000).

For the total energy, the calculation gives -65.222 eV per cell. For the formation enthalpy at 0 K, the calculation gives -0.24 eV per atom.



Entry 12:
MnAs2O4: relaxed, GGA-PBEsol.

The space group is P4_2/mbc (No. 135) and the conventional cell measures 8.542, 8.542 and 5.763 Å, with angles of 90.00, 90.00 and 90.00 degrees. The inequivalent atoms are Mn at (0.000, 0.500, 0.250), As at (0.175, 0.189, 0.000), O at (0.108, 0.359, 0.500) and O at (0.183, 0.683, 0.250).

For the total energy, the calculation gives -197.268 eV per cell. The raw formation energy is -8.35 eV per formula unit.



Values for N(E_F), states/eV per cell, ordered as above
6.727, 2.325, 1.245, 2.344, 4.015, 6.578, 9.671, 3.407, 4.890, 4.262, 7.889, 4.141